Entry 1:
The following is a DFT calculation (GGA-PBE) of a relaxed structure of PrGdOs.

## Properties
relative energy among the computed polymorphs	0.00	eV/f.u.
calculated formation energy	-1.89	kcal/mol of atoms

```
3
Lattice="-3.2334 3.1428 1.8977 -1.8058 -0.7573 4.4832 1.3126 2.9284 3.6926" Properties=species:S:1:pos:R:3 pbc="T T T"
Os -0.9317 1.3285 2.5184
Gd 0.0000 0.0000 0.0000
Pr -1.8633 2.6570 5.0367
```

***

Entry 2:
The following is a DFT calculation (GGA-PBE) of a relaxed structure of Li2Cl.

## Properties
energy relative to the elements, uncorrected	-1.01	eV/atom
relative energy among the computed polymorphs	0.16	eV/f.u.

```
6
Lattice="1.6463 5.8255 -0.0098 -1.6463 5.8255 -0.0098 0.0000 0.0745 6.7877" Properties=species:S:1:pos:R:3 pbc="T T T"
Li 0.0000 7.1639 1.5251
Li 0.0000 7.4631 4.8903
Li 0.0000 10.1099 3.2591
Li 0.0000 4.4711 0.2846
Cl 0.0000 0.5369 6.5599
Cl 0.0000 3.5019 4.9200
```

***

Entry 3:
The following is a DFT calculation (GGA-PBE) of a relaxed structure of ScBSbI2.

## Properties
energy relative to the elements, uncorrected	0.56	eV/atom
relative energy among the computed polymorphs	0.00	eV/f.u.

```
5
Lattice="4.9261 0.0000 0.0000 0.0000 4.9261 0.0000 0.0000 0.0000 5.1884" Properties=species:S:1:pos:R:3 pbc="T T T"
Sb 0.0000 0.0000 2.5942
I 0.0000 2.4630 0.0000
I 2.4630 0.0000 0.0000
B 0.0000 0.0000 0.0000
Sc 2.4630 2.4630 2.5942
```

***

Entry 4:
The following is a DFT calculation (GGA-PBE) of a relaxed structure of NdHo5Sb4.

## Properties
energy relative to the elements, uncorrected	-0.71	eV/atom

```
10
Lattice="-3.1405 -1.0890 -2.7765 5.8293 -2.0660 -5.7833 -0.1243 -7.2166 6.3490" Properties=species:S:1:pos:R:3 pbc="T T T"
Sb -1.6299 -3.4190 -0.1933
Sb 1.0448 -9.6559 -0.7725
Sb 4.1944 -6.9526 -2.0175
Sb 1.5197 -0.7158 -1.4382
Ho 1.1347 -6.8655 -1.9686
Ho 1.3444 -1.5775 -4.2799
Ho 1.4298 -3.5061 -0.2421
Ho 4.2645 -4.1923 -3.1794
Ho -1.7000 -6.1793 0.9686
Nd -1.5703 -0.5445 -1.3882
```